P | VASP calculation (GGA-PBEsol) on Ta2ReAg after structural relaxation.

Geometry as CIF:
```
data_Ta2ReAg
_chemical_formula_sum 'Ta2 Re1 Ag1'
_cell_length_a 2.7609
_cell_length_b 4.2281
_cell_length_c 5.7413
_cell_angle_alpha 90.00
_cell_angle_beta 98.88
_cell_angle_gamma 90.00
_symmetry_space_group_name_H-M 'P 1 2/m 1'
_symmetry_Int_Tables_number 10
_symmetry_space_group_name_Hall '-P 2y'
loop_
_atom_site_label
_atom_site_fract_x
_atom_site_fract_y
_atom_site_fract_z
_atom_site_occupancy
Ta1 0.0786 0.0000 0.2656 1
Re1 0.5000 0.5000 0.5000 1
Ag1 0.5000 0.5000 0.0000 1
```



Q | VASP calculation (GGA-PBEsol) on Ta2ReAg after structural relaxation.

Geometry as CIF:
```
data_Ta2ReAg
_chemical_formula_sum 'Ta2 Re1 Ag1'
_cell_length_a 4.5323
_cell_length_b 4.5323
_cell_length_c 3.2151
_cell_angle_alpha 90.00
_cell_angle_beta 90.00
_cell_angle_gamma 90.00
_symmetry_space_group_name_H-M 'P 4/m m m'
_symmetry_Int_Tables_number 123
_symmetry_space_group_name_Hall '-P 4 2'
loop_
_atom_site_label
_atom_site_fract_x
_atom_site_fract_y
_atom_site_fract_z
_atom_site_occupancy
Ta1 0.0000 0.5000 0.0000 1
Re1 0.0000 0.0000 0.5000 1
Ag1 0.5000 0.5000 0.5000 1
```



Stability check: which of them is least stable? P.



P | VASP calculation (GGA-PBEsol) on ReTcAg2 after structural relaxation.

Geometry as CIF:
```
data_ReTcAg2
_chemical_formula_sum 'Re2 Tc2 Ag4'
_cell_length_a 9.6696
_cell_length_b 2.7091
_cell_length_c 4.6920
_cell_angle_alpha 90.00
_cell_angle_beta 99.29
_cell_angle_gamma 90.00
_symmetry_space_group_name_H-M 'C 1 2/m 1'
_symmetry_Int_Tables_number 12
_symmetry_space_group_name_Hall '-C 2y'
loop_
_atom_site_label
_atom_site_fract_x
_atom_site_fract_y
_atom_site_fract_z
_atom_site_occupancy
Re1 0.0000 0.0000 0.0000 1
Tc1 0.0000 0.5000 0.5000 1
Ag1 0.2502 0.0000 0.7502 1
```



Q | VASP calculation (GGA-PBEsol) on ReTcAg2 after structural relaxation.

Geometry as CIF:
```
data_ReTcAg2
_chemical_formula_sum 'Re4 Tc4 Ag8'
_cell_length_a 6.2585
_cell_length_b 6.2585
_cell_length_c 6.2585
_cell_angle_alpha 90.00
_cell_angle_beta 90.00
_cell_angle_gamma 90.00
_symmetry_space_group_name_H-M 'F -4 3 m'
_symmetry_Int_Tables_number 216
_symmetry_space_group_name_Hall 'F -4 2 3'
loop_
_atom_site_label
_atom_site_fract_x
_atom_site_fract_y
_atom_site_fract_z
_atom_site_occupancy
Re1 0.0000 0.0000 0.0000 1
Tc1 0.2500 0.2500 0.2500 1
Ag1 0.0000 0.0000 0.5000 1
Ag2 0.2500 0.2500 0.7500 1
```



Stability check: which of them is least stable? Q.



P | VASP calculation (GGA-PBEsol) on TlReAg2 after structural relaxation.

Geometry as CIF:
```
data_TlReAg2
_chemical_formula_sum 'Tl2 Re2 Ag4'
_cell_length_a 3.9370
_cell_length_b 3.9508
_cell_length_c 9.2390
_cell_angle_alpha 90.00
_cell_angle_beta 90.00
_cell_angle_gamma 90.00
_symmetry_space_group_name_H-M 'C m m m'
_symmetry_Int_Tables_number 65
_symmetry_space_group_name_Hall '-C 2 2'
loop_
_atom_site_label
_atom_site_fract_x
_atom_site_fract_y
_atom_site_fract_z
_atom_site_occupancy
Tl1 0.0000 0.0000 0.0000 1
Re1 0.0000 0.0000 0.5000 1
Ag1 0.0000 0.5000 0.2776 1
```



Q | VASP calculation (GGA-PBEsol) on TlReAg2 after structural relaxation.

Geometry as CIF:
```
data_TlReAg2
_chemical_formula_sum 'Tl1 Re1 Ag2'
_cell_length_a 2.8198
_cell_length_b 4.9703
_cell_length_c 5.0048
_cell_angle_alpha 90.00
_cell_angle_beta 91.96
_cell_angle_gamma 90.00
_symmetry_space_group_name_H-M 'P 1 2/m 1'
_symmetry_Int_Tables_number 10
_symmetry_space_group_name_Hall '-P 2y'
loop_
_atom_site_label
_atom_site_fract_x
_atom_site_fract_y
_atom_site_fract_z
_atom_site_occupancy
Tl1 0.0000 0.0000 0.0000 1
Re1 0.5000 0.0000 0.5000 1
Ag1 0.2328 0.5000 0.7371 1
```



R | VASP calculation (GGA-PBEsol) on TlReAg2 after structural relaxation.

Geometry as CIF:
```
data_TlReAg2
_chemical_formula_sum 'Tl1 Re1 Ag2'
_cell_length_a 2.9274
_cell_length_b 4.7744
_cell_length_c 4.9564
_cell_angle_alpha 90.00
_cell_angle_beta 90.00
_cell_angle_gamma 90.00
_symmetry_space_group_name_H-M 'P m m m'
_symmetry_Int_Tables_number 47
_symmetry_space_group_name_Hall '-P 2 2'
loop_
_atom_site_label
_atom_site_fract_x
_atom_site_fract_y
_atom_site_fract_z
_atom_site_occupancy
Tl1 0.0000 0.0000 0.0000 1
Re1 0.5000 0.5000 0.0000 1
Ag1 0.0000 0.5000 0.5000 1
Ag2 0.5000 0.0000 0.5000 1
```



Stability check: which of them is least stable? Q.



P | VASP calculation (GGA-PBEsol) on YRe2Ag after structural relaxation.

Geometry as CIF:
```
data_YRe2Ag
_chemical_formula_sum 'Y2 Re4 Ag2'
_cell_length_a 3.2609
_cell_length_b 4.4269
_cell_length_c 9.6808
_cell_angle_alpha 90.00
_cell_angle_beta 90.00
_cell_angle_gamma 90.00
_symmetry_space_group_name_H-M 'I m m m'
_symmetry_Int_Tables_number 71
_symmetry_space_group_name_Hall '-I 2 2'
loop_
_atom_site_label
_atom_site_fract_x
_atom_site_fract_y
_atom_site_fract_z
_atom_site_occupancy
Y1 0.0000 0.0000 0.0000 1
Re1 0.0000 0.5000 0.2460 1
Ag1 0.0000 0.0000 0.5000 1
```



Q | VASP calculation (GGA-PBEsol) on YRe2Ag after structural relaxation.

Geometry as CIF:
```
data_YRe2Ag
_chemical_formula_sum 'Y2 Re4 Ag2'
_cell_length_a 3.2242
_cell_length_b 4.4031
_cell_length_c 9.5167
_cell_angle_alpha 90.00
_cell_angle_beta 90.00
_cell_angle_gamma 90.00
_symmetry_space_group_name_H-M 'C m m m'
_symmetry_Int_Tables_number 65
_symmetry_space_group_name_Hall '-C 2 2'
loop_
_atom_site_label
_atom_site_fract_x
_atom_site_fract_y
_atom_site_fract_z
_atom_site_occupancy
Y1 0.0000 0.0000 0.0000 1
Re1 0.0000 0.5000 0.2602 1
Ag1 0.0000 0.0000 0.5000 1
```



R | VASP calculation (GGA-PBEsol) on YRe2Ag after structural relaxation.

Geometry as CIF:
```
data_YRe2Ag
_chemical_formula_sum 'Y1 Re2 Ag1'
_cell_length_a 2.8973
_cell_length_b 4.3886
_cell_length_c 5.6507
_cell_angle_alpha 90.00
_cell_angle_beta 101.32
_cell_angle_gamma 90.00
_symmetry_space_group_name_H-M 'P 1 m 1'
_symmetry_Int_Tables_number 6
_symmetry_space_group_name_Hall 'P -2y'
loop_
_atom_site_label
_atom_site_fract_x
_atom_site_fract_y
_atom_site_fract_z
_atom_site_occupancy
Y1 0.0000 0.0000 0.0000 1
Re1 0.2633 0.5000 0.6724 1
Re2 0.5637 0.0000 0.5334 1
Ag1 0.5885 0.5000 0.2258 1
```



Stability check: which of them is least stable? Q.



P | VASP calculation (GGA-PBEsol) on Zr2ReAg after structural relaxation.

Geometry as CIF:
```
data_Zr2ReAg
_chemical_formula_sum 'Zr8 Re4 Ag4'
_cell_length_a 6.6317
_cell_length_b 6.6317
_cell_length_c 6.6317
_cell_angle_alpha 90.00
_cell_angle_beta 90.00
_cell_angle_gamma 90.00
_symmetry_space_group_name_H-M 'F m -3 m'
_symmetry_Int_Tables_number 225
_symmetry_space_group_name_Hall '-F 4 2 3'
loop_
_atom_site_label
_atom_site_fract_x
_atom_site_fract_y
_atom_site_fract_z
_atom_site_occupancy
Zr1 0.2500 0.2500 0.2500 1
Re1 0.0000 0.0000 0.0000 1
Ag1 0.0000 0.0000 0.5000 1
```



Q | VASP calculation (GGA-PBEsol) on Zr2ReAg after structural relaxation.

Geometry as CIF:
```
data_Zr2ReAg
_chemical_formula_sum 'Zr4 Re2 Ag2'
_cell_length_a 4.0851
_cell_length_b 4.0851
_cell_length_c 8.6504
_cell_angle_alpha 90.00
_cell_angle_beta 90.00
_cell_angle_gamma 90.00
_symmetry_space_group_name_H-M 'I -4 m 2'
_symmetry_Int_Tables_number 119
_symmetry_space_group_name_Hall 'I -4 -2'
loop_
_atom_site_label
_atom_site_fract_x
_atom_site_fract_y
_atom_site_fract_z
_atom_site_occupancy
Zr1 0.0000 0.0000 0.0000 1
Zr2 0.0000 0.5000 0.2500 1
Re1 0.0000 0.5000 0.7500 1
Ag1 0.0000 0.0000 0.5000 1
```



R | VASP calculation (GGA-PBEsol) on Zr2ReAg after structural relaxation.

Geometry as CIF:
```
data_Zr2ReAg
_chemical_formula_sum 'Zr2 Re1 Ag1'
_cell_length_a 3.2910
_cell_length_b 3.2910
_cell_length_c 6.8254
_cell_angle_alpha 90.00
_cell_angle_beta 90.00
_cell_angle_gamma 90.00
_symmetry_space_group_name_H-M 'P 4/m m m'
_symmetry_Int_Tables_number 123
_symmetry_space_group_name_Hall '-P 4 2'
loop_
_atom_site_label
_atom_site_fract_x
_atom_site_fract_y
_atom_site_fract_z
_atom_site_occupancy
Zr1 0.0000 0.0000 0.2299 1
Re1 0.5000 0.5000 0.0000 1
Ag1 0.5000 0.5000 0.5000 1
```



Stability check: which of them is least stable? Q.



P | VASP calculation (GGA-PBEsol) on Ag2Rh after structural relaxation.

Geometry as CIF:
```
data_Ag2Rh
_chemical_formula_sum 'Ag4 Rh2'
_cell_length_a 2.7294
_cell_length_b 2.7294
_cell_length_c 12.4289
_cell_angle_alpha 90.00
_cell_angle_beta 90.00
_cell_angle_gamma 90.00
_symmetry_space_group_name_H-M 'I 4/m m m'
_symmetry_Int_Tables_number 139
_symmetry_space_group_name_Hall '-I 4 2'
loop_
_atom_site_label
_atom_site_fract_x
_atom_site_fract_y
_atom_site_fract_z
_atom_site_occupancy
Ag1 0.0000 0.0000 0.1637 1
Rh1 0.0000 0.0000 0.5000 1
```



Q | VASP calculation (GGA-PBEsol) on Ag2Rh after structural relaxation.

Geometry as CIF:
```
data_Ag2Rh
_chemical_formula_sum 'Ag2 Rh1'
_cell_length_a 2.7635
_cell_length_b 2.7635
_cell_length_c 6.9616
_cell_angle_alpha 90.00
_cell_angle_beta 90.00
_cell_angle_gamma 120.00
_symmetry_space_group_name_H-M 'P -3 m 1'
_symmetry_Int_Tables_number 164
_symmetry_space_group_name_Hall '-P 3 2"'
loop_
_atom_site_label
_atom_site_fract_x
_atom_site_fract_y
_atom_site_fract_z
_atom_site_occupancy
Ag1 0.3333 0.6667 0.3294 1
Rh1 0.0000 0.0000 0.0000 1
```



Stability check: which of them is least stable? P.